First-principles (PBE-GGA) data for La6PrDy2Er after structural relaxation, as listed in Alexandria via LeMat-Bulk.

abc: 6.745 6.745 9.000
angles: 102.00 102.00 64.80
Atoms (fractional coordinates):
La1 0.099 0.543 0.202
La2 0.135 0.135 0.433
La3 0.457 0.901 0.798
La4 0.543 0.099 0.202
La5 0.865 0.865 0.567
La6 0.901 0.457 0.798
Pr1 0.000 0.000 0.000
Dy1 0.410 0.410 0.833
Dy2 0.590 0.590 0.167
Er1 0.500 0.500 0.500

Computed properties:
Space group   C2/m, No. 12
ΔH_f (0 K)   1.865 eV per formula unit
Final energy   -0.16995 hartree per atom